This record from the Alexandria database describes P2PbCO after structural relaxation. The functional is PBE.

Values from the calculation:
ΔE_f (raw)	11.2	eV/f.u.
total magnetic moment	0.0	Bohr magnetons per cell
crystal system	tetragonal
symmetry	P4/mmm (123)
V	110	Å³/cell
ΔE to the lowest computed polymorph	6.95	eV per formula unit
raw total energy	-3.5112	eV/atom

Cell lengths 5.191, 5.191, 4.071 Å; angles 90.00, 90.00, 90.00 degrees
Sites, in units of the cell vectors:
1 P 0.000 0.500 0.000
2 O 0.000 0.000 0.500
3 C 0.500 0.500 0.500
4 Pb 0.000 0.000 0.000
5 P 0.500 0.000 0.000

=====

This record from the Alexandria database describes Ti4BBr5 after structural relaxation. The functional is PBE.

Values from the calculation:
ΔE_f (raw)	-9.9	eV/f.u.
total magnetic moment	0.0	Bohr magnetons per cell
crystal system	monoclinic
symmetry	C2/m (12)
V	226	Å³/cell
raw total energy	-5.6527	eV/atom

Cell lengths 3.491, 7.451, 9.070 Å; angles 102.03, 101.10, 90.00 degrees
Sites, in units of the cell vectors:
1 Ti 0.619 0.060 0.239
2 Br 0.152 0.323 0.304
3 Br 0.848 0.677 0.696
4 Br 0.154 0.831 0.307
5 Ti 0.000 0.813 0.000
6 Ti 0.000 0.187 0.000
7 Br 0.846 0.169 0.693
8 Ti 0.381 0.940 0.761
9 Br 0.500 0.500 0.000
10 B 0.500 0.000 0.000

=====

This record from the Alexandria database describes LiTb2RhO5 after structural relaxation. The functional is PBE.

Values from the calculation:
ΔE_f (raw)	-20.2	eV/f.u.
total magnetic moment	4.0	Bohr magnetons per cell
crystal system	tetragonal
symmetry	P4/mbm (127)
V	247	Å³/cell
raw total energy	-7.0560	eV/atom

Cell lengths 5.741, 6.557, 6.557 Å; angles 90.00, 90.00, 90.00 degrees
Last column: magnetic moment on the atom in μB.
Sites, in units of the cell vectors:
1 Rh 0.000 0.500 0.000  1.17
2 O 0.745 0.639 0.861  0.14
3 O 0.745 0.861 0.361  0.14
4 O 0.745 0.361 0.139  0.14
5 O 0.255 0.361 0.139  0.14
6 Tb 0.500 0.324 0.824  0.00
7 Rh 0.000 0.000 0.500  1.17
8 Tb 0.500 0.676 0.176  0.00
9 O 0.255 0.861 0.361  0.14
10 O 0.500 0.500 0.500  0.11
11 O 0.255 0.139 0.639  0.14
12 O 0.745 0.139 0.639  0.14
13 Tb 0.500 0.824 0.676  0.00
14 Li 0.000 0.500 0.500  0.00
15 O 0.500 0.000 0.000  0.11
16 Tb 0.500 0.176 0.324  0.00
17 Li 0.000 0.000 0.000  0.00
18 O 0.255 0.639 0.861  0.14

=====

This record from the Alexandria database describes La2Ga4Cu3Sn after structural relaxation. The functional is PBE.

Values from the calculation:
energy of formation from the pure elements	-0.48	eV/atom
total magnetic moment	0.0	Bohr magnetons per cell
crystal system	tetragonal
symmetry	P-4m2 (115)
V	199	Å³/cell
raw total energy	-4.3058	eV/atom

Cell lengths 4.305, 4.305, 10.720 Å; angles 90.00, 90.00, 90.00 degrees
Sites, in units of the cell vectors:
1 Sn 0.500 0.500 0.500
2 La 0.000 0.500 0.763
3 Ga 0.500 0.000 0.655
4 Ga 0.500 0.500 0.000
5 Cu 0.000 0.000 0.500
6 Ga 0.000 0.500 0.345
7 Cu 0.000 0.500 0.121
8 Ga 0.000 0.000 0.000
9 La 0.500 0.000 0.237
10 Cu 0.500 0.000 0.879